[1]
Material: Sm4Cd3Ag
Method: DFT, PBE
State: relaxed

Summary:
For the density of states at the Fermi level, the calculation gives 8.24 states/eV per cell. The value obtained for the offset from the most stable computed form is 0.401 eV per formula unit. As for the mass density: 7.9 g/cm3.

abc: 3.5925 4.9626 12.2881
angles: 90.00 90.00 90.00
Space group Pmm2 (No. 25)
Asymmetric unit:
Sm: 0.0000 0.0000 0.0000 (multiplicity 1)
Sm: 0.0000 0.5000 0.3059 (multiplicity 1)
Sm: 0.5000 0.0000 0.4900 (multiplicity 1)
Sm: 0.5000 0.5000 0.8135 (multiplicity 1)
Cd: 0.0000 0.0000 0.7238 (multiplicity 1)
Cd: 0.0000 0.5000 0.5796 (multiplicity 1)
Cd: 0.5000 0.5000 0.0840 (multiplicity 1)
Ag: 0.5000 0.0000 0.2247 (multiplicity 1)

=====

[2]
Material: GdPaPd2
Method: DFT, PBE
State: relaxed

Summary:
For the density of states at the Fermi level, the calculation gives 25.96 states/eV per cell. The value obtained for the offset from the most stable computed form is 0.143 eV per formula unit. As for the mass density: 11.3 g/cm3.

abc: 7.0619 7.0619 7.0619
angles: 90.00 90.00 90.00
Space group Fm-3m (No. 225)
Asymmetric unit:
Gd: 0.0000 0.0000 0.0000 (multiplicity 4)
Pa: 0.0000 0.0000 0.5000 (multiplicity 4)
Pd: 0.2500 0.2500 0.2500 (multiplicity 8)

=====

[3]
Material: Sm4SnSb2
Method: DFT, PBE
State: relaxed

Summary:
For the density of states at the Fermi level, the calculation gives 29.62 states/eV per cell. The value obtained for the offset from the most stable computed form is 0.000 eV per formula unit. As for the mass density: 7.7 g/cm3.

abc: 9.4217 9.4217 9.4251
angles: 90.00 90.00 90.00
Space group I-42d (No. 122)
Asymmetric unit:
Sm: 0.0702 0.1780 0.3039 (multiplicity 16)
Sn: 0.0000 0.0000 0.0000 (multiplicity 4)
Sb: 0.1251 0.2500 0.6250 (multiplicity 8)

=====

[4]
Material: BaMnCr2
Method: DFT, PBE
State: relaxed

Summary:
For the density of states at the Fermi level, the calculation gives 4.04 states/eV per cell. The value obtained for the offset from the most stable computed form is 0.624 eV per formula unit. As for the mass density: 6.3 g/cm3.

abc: 3.2381 3.2465 7.4616
angles: 90.00 90.07 90.00
Space group P2/m (No. 10)
Asymmetric unit:
Ba: 0.0000 0.0000 0.0000 (multiplicity 1)
Mn: 0.0000 0.0000 0.5000 (multiplicity 1)
Cr: 0.4999 0.5000 0.3673 (multiplicity 2)

=====

[5]
Material: ThCdIn
Method: DFT, PBE
State: relaxed

Summary:
For the density of states at the Fermi level, the calculation gives 1.89 states/eV per cell. As for the mass density: 9.6 g/cm3. The calculation puts the final energy at -3.946 eV per atom.

abc: 5.0241 5.0241 3.6417
angles: 90.00 90.00 120.00
Space group P3m1 (No. 156)
Asymmetric unit:
Th: 0.0000 0.0000 0.0000 (multiplicity 1)
Cd: 0.3333 0.6667 0.4990 (multiplicity 1)
In: 0.6667 0.3333 0.5009 (multiplicity 1)

=====

[6]
Material: LiPmEr2Te4
Method: DFT, PBE
State: relaxed

Summary:
For the density of states at the Fermi level, the calculation gives 2.95 states/eV per cell. As for the mass density: 7.1 g/cm3. The calculation puts the final energy at -4.848 eV per atom.

abc: 7.5542 4.3263 7.5689
angles: 90.00 109.12 90.00
Space group P2/m (No. 10)
Asymmetric unit:
Li: 0.0000 0.0000 0.0000 (multiplicity 1)
Pm: 0.0000 0.5000 0.5000 (multiplicity 1)
Er: 0.5000 0.0000 0.5000 (multiplicity 1)
Er: 0.5000 0.5000 0.0000 (multiplicity 1)
Te: 0.2499 0.5000 0.2422 (multiplicity 2)
Te: 0.2545 0.0000 0.7611 (multiplicity 2)

=====

[7]
Material: CuIrOs
Method: DFT, PBE
State: relaxed

Summary:
For the density of states at the Fermi level, the calculation gives 18.90 states/eV per cell. The value obtained for the offset from the most stable computed form is 1.142 eV per formula unit. As for the mass density: 17.4 g/cm3.

abc: 2.7200 4.6056 13.6118
angles: 90.00 90.00 90.00
Space group Fmm2 (No. 42)
Asymmetric unit:
Cu: 0.0000 0.0000 0.0000 (multiplicity 4)
Ir: 0.0000 0.0000 0.6650 (multiplicity 4)
Os: 0.0000 0.0000 0.3346 (multiplicity 4)

=====

[8]
Material: CdHg4
Method: DFT, PBE
State: relaxed

Summary:
For the density of states at the Fermi level, the calculation gives 0.83 states/eV per cell. The value obtained for the offset from the most stable computed form is 0.003 eV per formula unit. As for the mass density: 10.9 g/cm3.

abc: 6.8609 6.8609 5.9019
angles: 90.00 90.00 90.00
Space group P4/nbm (No. 125, origin choice 2)
Asymmetric unit:
Cd: 0.2500 0.2500 0.0000 (multiplicity 2)
Hg: 0.0883 0.5883 0.2805 (multiplicity 8)

=====

[9]
Material: RbInFe3
Method: DFT, PBE
State: relaxed

Summary:
For the density of states at the Fermi level, the calculation gives 7.16 states/eV per cell. The value obtained for the offset from the most stable computed form is 4.709 eV per formula unit. As for the mass density: 5.7 g/cm3.

abc: 4.7554 4.7554 4.7554
angles: 90.00 90.00 90.00
Space group Pm-3m (No. 221)
Asymmetric unit:
Rb: 0.0000 0.0000 0.0000 (multiplicity 1)
In: 0.5000 0.5000 0.5000 (multiplicity 1)
Fe: 0.0000 0.0000 0.5000 (multiplicity 3)

=====

[10]
Material: TbCeEr
Method: DFT, PBE
State: relaxed

Summary:
For the density of states at the Fermi level, the calculation gives 12.94 states/eV per cell. The value obtained for the offset from the most stable computed form is 0.028 eV per formula unit. As for the mass density: 8.4 g/cm3.

abc: 3.5138 3.5138 14.8985
angles: 90.00 90.00 90.00
Space group I4mm (No. 107)
Asymmetric unit:
Tb: 0.0000 0.0000 0.0000 (multiplicity 2)
Ce: 0.0000 0.0000 0.3356 (multiplicity 2)
Er: 0.0000 0.0000 0.6729 (multiplicity 2)

=====

[11]
Material: Pa5Cu2Pt5
Method: DFT, PBE
State: relaxed

Summary:
For the density of states at the Fermi level, the calculation gives 26.74 states/eV per cell. As for the mass density: 15.5 g/cm3. The calculation puts the final energy at -7.870 eV per atom.

abc: 14.6786 4.4045 9.9058
angles: 90.00 130.73 90.00
Space group C2/m (No. 12)
Asymmetric unit:
Pa: 0.0000 0.0000 0.0000 (multiplicity 2)
Pa: 0.0941 0.0000 0.4080 (multiplicity 4)
Pa: 0.1759 0.0000 0.7956 (multiplicity 4)
Cu: 0.1403 0.5000 0.2482 (multiplicity 4)
Pt: 0.0000 0.5000 0.5000 (multiplicity 2)
Pt: 0.0842 0.5000 0.8826 (multiplicity 4)
Pt: 0.2432 0.5000 0.6643 (multiplicity 4)

=====

[12]
Material: AsSeF
Method: DFT, PBE
State: relaxed

Summary:
The value obtained for the offset from the most stable computed form is 0.000 eV per formula unit. As for the mass density: 4.0 g/cm3.

abc: 5.5862 5.3744 4.8062
angles: 90.00 95.44 90.00
Space group Cm (No. 8)
Asymmetric unit:
As: 0.0000 0.0000 0.0000 (multiplicity 2)
Se: 0.0702 0.5000 0.9198 (multiplicity 2)
F: 0.0396 0.0000 0.3771 (multiplicity 2)

=====

> What is the mass density in the twelfth record?

4.0 g/cm3